Density functional theory data (PBE-GGA) for a relaxed YHo2Mg4 crystal.

Magnetic moment = 0.000 μB/f.u.
Formation energy = 0.38 eV/atom
Volume = 29.93 A^3/atom
Raw total energy = -2.761 eV/atom
DOS at the Fermi energy = 0.784 states/eV per atom

Geometry as POSCAR:
```
YHo2Mg4
1.0
5.955 0.000 0.000
0.000 12.922 0.000
0.000 0.000 5.446
Y Ho Mg
2 4 8
Direct
0.000 0.000 0.000
0.500 0.500 0.000
0.000 0.368 0.500
0.000 0.632 0.500
0.500 0.132 0.500
0.500 0.868 0.500
0.000 0.119 0.500
0.000 0.245 0.000
0.000 0.755 0.000
0.000 0.881 0.500
0.500 0.255 0.000
0.500 0.381 0.500
0.500 0.619 0.500
0.500 0.745 0.000
```